Ce2Bi4Sb | GGA-PBE | relaxed

Cell: 6.952 6.952 6.771 Å, 121.01 121.01 89.91°
Sites, in units of the cell vectors:
Bi: 0.286 0.786 0.071
Bi: 0.286 0.286 0.071
Sb: 0.786 0.786 0.571
Ce: 0.786 0.286 0.571
Bi: 0.786 0.286 0.071
Bi: 0.786 0.786 0.072
Ce: 0.286 0.786 0.571

Values from the calculation:
V in Å³ per atom: 32.05
Space-group type: C2/m (12)
Energy relative to the elements, uncorrected in meV per atom: -475.4

CeBiSb | GGA-PBE | relaxed

Cell: 4.485 4.485 9.536 Å, 103.60 103.60 90.00°
Sites, in units of the cell vectors:
Ce: 0.353 0.353 0.705
Ce: 0.647 0.647 0.295
Bi: 0.500 0.000 0.000
Sb: 0.178 0.178 0.355
Sb: 0.822 0.822 0.645
Bi: 0.000 0.500 0.000

Values from the calculation:
V in Å³ per atom: 30.16
Space-group type: I4/mmm (139)
E above lowest polymorph in meV per atom: 0
Energy relative to the elements, uncorrected in meV per atom: -670.9

Ce2BiSb | GGA-PBE | relaxed

Cell: 4.428 4.428 7.819 Å, 90.00 90.00 60.00°
Sites, in units of the cell vectors:
Sb: 0.000 0.000 0.000
Ce: 0.333 0.333 0.757
Bi: 0.000 0.000 0.500
Ce: 0.667 0.667 0.243

Values from the calculation:
V in Å³ per atom: 33.19
Space-group type: P-3m1 (164)
E above lowest polymorph in meV per atom: 96
Energy relative to the elements, uncorrected in meV per atom: -819.2

Ce8Bi3Sb2 | GGA-PBE | relaxed

Cell: 6.632 8.645 8.384 Å, 121.03 92.70 90.00°
Sites, in units of the cell vectors:
Ce: 0.596 0.224 0.771
Bi: 0.500 0.000 0.000
Bi: 0.000 0.779 0.000
Ce: 0.906 0.634 0.269
Ce: 0.883 0.174 0.348
Bi: 0.000 0.221 0.000
Ce: 0.094 0.366 0.731
Sb: 0.608 0.793 0.586
Ce: 0.596 0.547 0.771
Ce: 0.404 0.776 0.229
Ce: 0.117 0.826 0.652
Ce: 0.404 0.453 0.229
Sb: 0.392 0.207 0.414

Values from the calculation:
V in Å³ per atom: 31.64
Space-group type: C2/m (12)
Energy relative to the elements, uncorrected in meV per atom: -346.4

Ce3BiSb4 | GGA-PBE | relaxed

Cell: 6.407 6.407 6.407 Å, 90.00 90.00 90.00°
Sites, in units of the cell vectors:
Ce: 0.500 0.000 0.500
Sb: 0.500 0.000 0.000
Bi: 0.000 0.000 0.000
Ce: 0.000 0.500 0.500
Sb: 0.500 0.500 0.500
Ce: 0.500 0.500 0.000
Sb: 0.000 0.000 0.500
Sb: 0.000 0.500 0.000

Values from the calculation:
V in Å³ per atom: 32.88
Space-group type: Pm-3m (221)
Energy relative to the elements, uncorrected in meV per atom: -714.1

CeBiSb | GGA-PBE | relaxed

Cell: 6.618 5.393 5.393 Å, 108.74 90.00 90.00°
Sites, in units of the cell vectors:
Ce: 0.250 0.303 0.697
Bi: 0.250 0.680 0.320
Sb: 0.500 0.000 0.000
Ce: 0.750 0.697 0.303
Sb: 0.000 0.000 0.000
Bi: 0.750 0.320 0.680

Values from the calculation:
V in Å³ per atom: 30.38
Space-group type: Cmcm (63)
E above lowest polymorph in meV per atom: 149
Energy relative to the elements, uncorrected in meV per atom: -522.4

Ce2BiSb4 | GGA-PBE | relaxed

Cell: 4.385 4.385 11.284 Å, 90.00 90.00 90.00°
Sites, in units of the cell vectors:
Sb: 0.000 0.000 0.500
Sb: 0.500 0.000 0.207
Sb: 0.000 0.500 0.793
Bi: 0.500 0.500 0.000
Ce: 0.000 0.500 0.281
Sb: 0.500 0.500 0.500
Ce: 0.500 0.000 0.719

Values from the calculation:
V in Å³ per atom: 30.99
Space-group type: P-4m2 (115)
E above lowest polymorph in meV per atom: 0
Energy relative to the elements, uncorrected in meV per atom: -588.0

Ce7Bi3Sb | GGA-PBE | relaxed

Cell: 5.930 8.440 8.440 Å, 86.77 114.85 114.85°
Sites, in units of the cell vectors:
Ce: 0.815 0.814 0.814
Ce: 0.000 0.500 0.500
Ce: 0.282 0.071 0.574
Ce: 0.282 0.574 0.071
Ce: 0.718 0.426 0.929
Ce: 0.718 0.929 0.426
Ce: 0.185 0.186 0.186
Bi: 0.000 0.230 0.770
Bi: 0.000 0.770 0.230
Sb: 0.500 0.500 0.500
Bi: 0.500 0.000 0.000

Values from the calculation:
V in Å³ per atom: 31.28
Space-group type: C2/m (12)
Energy relative to the elements, uncorrected in meV per atom: -423.7

Ce6BiSb | GGA-PBE | relaxed

Cell: 4.786 4.786 9.576 Å, 90.00 90.00 90.00°
Sites, in units of the cell vectors:
Ce: 0.000 0.500 0.256
Ce: 0.500 0.500 0.000
Ce: 0.500 0.000 0.256
Ce: 0.500 0.000 0.744
Bi: 0.000 0.000 0.000
Ce: 0.000 0.500 0.744
Sb: 0.000 0.000 0.500
Ce: 0.500 0.500 0.500

Values from the calculation:
V in Å³ per atom: 27.42
Space-group type: P4/mmm (123)
Energy relative to the elements, uncorrected in meV per atom: -486.5

Ce2BiSb4 | GGA-PBE | relaxed

Cell: 6.871 6.871 6.606 Å, 121.49 121.49 89.80°
Sites, in units of the cell vectors:
Bi: 0.786 0.786 0.571
Ce: 0.286 0.786 0.571
Sb: 0.286 0.786 0.071
Sb: 0.786 0.286 0.071
Sb: 0.286 0.286 0.071
Ce: 0.786 0.286 0.571
Sb: 0.786 0.786 0.072

Values from the calculation:
V in Å³ per atom: 30.09
Space-group type: Fmmm (69)
E above lowest polymorph in meV per atom: 23
Energy relative to the elements, uncorrected in meV per atom: -565.4

Ce2BiSb | GGA-PBE | relaxed

Cell: 4.548 4.548 7.894 Å, 73.26 73.26 60.00°
Sites, in units of the cell vectors:
Ce: 0.748 0.748 0.757
Bi: 0.500 0.500 0.500
Ce: 0.252 0.252 0.243
Sb: 0.000 0.000 0.000

Values from the calculation:
V in Å³ per atom: 33.34
Space-group type: R-3m (166)
E above lowest polymorph in meV per atom: 0
Energy relative to the elements, uncorrected in meV per atom: -915.4

CeBiSb | GGA-PBE | relaxed

Cell: 3.298 5.566 5.566 Å, 120.00 90.00 90.00°
Sites, in units of the cell vectors:
Ce: 0.001 0.000 0.000
Bi: 0.501 0.333 0.667
Sb: 0.498 0.667 0.333

Values from the calculation:
V in Å³ per atom: 29.49
Space-group type: P3m1 (156)
E above lowest polymorph in meV per atom: 292
Energy relative to the elements, uncorrected in meV per atom: -378.6

CeBi2Sb | GGA-PBE | relaxed

Cell: 5.212 4.747 4.747 Å, 90.00 90.00 90.00°
Sites, in units of the cell vectors:
Ce: 0.500 0.000 0.000
Bi: 0.000 0.500 0.000
Sb: 0.500 0.500 0.500
Bi: 0.000 0.000 0.500

Values from the calculation:
V in Å³ per atom: 29.36
Space-group type: P4/mmm (123)
E above lowest polymorph in meV per atom: 0
Energy relative to the elements, uncorrected in meV per atom: -485.5

CeBiSb2 | GGA-PBE | relaxed

Cell: 3.430 3.430 11.811 Å, 81.65 81.65 60.00°
Sites, in units of the cell vectors:
Bi: 0.000 0.000 0.000
Ce: 0.500 0.500 0.500
Sb: 0.091 0.091 0.726
Sb: 0.909 0.909 0.274

Values from the calculation:
V in Å³ per atom: 29.65
Space-group type: R-3m (166)
E above lowest polymorph in meV per atom: 348
Energy relative to the elements, uncorrected in meV per atom: -173.5

Ce3BiSb3 | GGA-PBE | relaxed

Cell: 6.003 9.452 9.452 Å, 120.00 90.00 90.00°
Sites, in units of the cell vectors:
Ce: 0.250 0.598 0.932
Sb: 0.750 0.700 0.964
Sb: 0.750 0.036 0.737
Ce: 0.750 0.932 0.334
Ce: 0.250 0.334 0.402
Ce: 0.250 0.068 0.666
Sb: 0.250 0.300 0.036
Ce: 0.750 0.402 0.068
Bi: 0.750 0.333 0.667
Bi: 0.250 0.667 0.333
Sb: 0.250 0.964 0.263
Sb: 0.750 0.263 0.300
Sb: 0.250 0.737 0.700
Ce: 0.750 0.666 0.598

Values from the calculation:
V in Å³ per atom: 33.18
Space-group type: P6_3/m (176)
Energy relative to the elements, uncorrected in meV per atom: -613.5

CeBiSb2 | GGA-PBE | relaxed

Cell: 4.559 4.566 6.294 Å, 111.27 111.23 90.00°
Sites, in units of the cell vectors:
Ce: 0.000 0.000 0.000
Bi: 0.500 0.500 0.000
Sb: 0.250 0.750 0.500
Sb: 0.750 0.250 0.500

Values from the calculation:
V in Å³ per atom: 28.12
Space-group type: I4/mmm (139)
E above lowest polymorph in meV per atom: 45
Energy relative to the elements, uncorrected in meV per atom: -477.0

CeScBiSb | GGA-PBE | relaxed

Cell: 4.392 4.392 7.554 Å, 73.10 73.10 60.00°
Sites, in units of the cell vectors:
Sb: 0.007 0.007 0.979
Ce: 0.252 0.252 0.243
Sc: 0.748 0.748 0.757
Bi: 0.493 0.493 0.521

Values from the calculation:
V in Å³ per atom: 29.72
Space-group type: R3m (160)
Energy relative to the elements, uncorrected in meV per atom: -850.5

Ce6Bi3Sb2Se | GGA-PBE | relaxed

Cell: 4.493 9.038 10.063 Å, 102.83 102.90 90.00°
Sites, in units of the cell vectors:
Ce: 0.668 0.580 0.336
Sb: 0.166 0.332 0.331
Sb: 0.834 0.668 0.669
Bi: 0.169 0.835 0.338
Bi: 0.831 0.165 0.662
Ce: 0.000 0.235 0.000
Ce: 0.332 0.420 0.664
Se: 0.500 0.000 0.000
Ce: 0.340 0.916 0.680
Bi: 0.500 0.500 0.000
Ce: 0.660 0.084 0.320
Ce: 0.000 0.765 0.000

Values from the calculation:
V in Å³ per atom: 32.32
Space-group type: C2/m (12)
Energy relative to the elements, uncorrected in meV per atom: -1027.8

Ce6Bi3SbSe2 | GGA-PBE | relaxed

Cell: 4.427 8.960 9.961 Å, 103.23 102.84 90.00°
Sites, in units of the cell vectors:
Se: 0.168 0.333 0.336
Ce: 0.328 0.431 0.656
Ce: 0.672 0.569 0.344
Bi: 0.500 0.500 0.000
Ce: 0.007 0.250 0.015
Bi: 0.836 0.170 0.672
Ce: 0.993 0.750 0.985
Se: 0.832 0.667 0.664
Ce: 0.667 0.097 0.334
Sb: 0.500 0.000 0.000
Bi: 0.164 0.830 0.328
Ce: 0.333 0.903 0.666

Values from the calculation:
V in Å³ per atom: 31.21
Space-group type: C2/m (12)
Energy relative to the elements, uncorrected in meV per atom: -1146.2

Ce6Bi2Sb3Se | GGA-PBE | relaxed

Cell: 4.491 8.994 10.036 Å, 102.92 102.93 90.00°
Sites, in units of the cell vectors:
Ce: 0.338 0.924 0.677
Sb: 0.169 0.835 0.338
Ce: 0.665 0.588 0.330
Ce: 0.003 0.761 0.006
Se: 0.500 0.000 0.000
Bi: 0.166 0.333 0.331
Sb: 0.831 0.165 0.662
Ce: 0.997 0.239 0.994
Ce: 0.335 0.412 0.670
Sb: 0.500 0.500 0.000
Bi: 0.834 0.667 0.669
Ce: 0.662 0.076 0.323

Values from the calculation:
V in Å³ per atom: 32.04
Space-group type: C2/m (12)
Energy relative to the elements, uncorrected in meV per atom: -1066.4